Compound: Ce4Te5C
Source: the Alexandria database
Functional: GGA-PBE
Structure: optimized geometry

**Fermi-level density of states**: 12.3 states/eV per cell
**Magnetization**: 2.1 μB per formula unit
**Formation energy from raw total energies**: -0.88 eV/atom
**Final energy**: -5.746 eV/atom

Lattice parameters (Å, degrees): 4.2200 8.3783 9.5116 102.23 102.82 90.00
Last column: nearest neighbours and their distance in Å.
Element x y z (fractional)
Ce: 0.3512 0.9212 0.7024  1 C 2.69
Ce: 0.0026 0.7833 0.0051  2 C 2.79, 1 Te 3.08
Ce: 0.6488 0.0788 0.2976  1 C 2.69
Ce: 0.9974 0.2167 0.9949  2 C 2.79, 1 Te 3.08
Te: 0.8339 0.6532 0.6678  3 Ce 3.05-3.08
Te: 0.8260 0.1792 0.6519  4 Ce 3.13-3.21
Te: 0.1740 0.8208 0.3481  4 Ce 3.13-3.21
Te: 0.5000 0.5000 0.0000  4 Ce 3.17
Te: 0.1661 0.3468 0.3322  3 Ce 3.05-3.08
C: 0.5000 0.0000 0.0000  6 Ce 2.69-2.79